No. 1
SrTi2CuS | PBE | relaxed

Its total energy is -0.235 Ry/atom. The formation energy (no corrections) comes out at 1.94 eV/atom.

It has space group P4/mmm (No. 123), with a = 5.205 Å, b = 5.205 Å, c = 4.856 Å, α = 90.00°, β = 90.00° and γ = 90.00°. The inequivalent atoms are Sr at (0.000, 0.000, 0.000), Ti at (0.000, 0.500, 0.000), Cu at (0.000, 0.000, 0.500) and S at (0.500, 0.500, 0.500).



No. 2
RbLiPb2Cl6 | PBE | relaxed

Its total energy is -0.262 Ry/atom. The formation energy (no corrections) comes out at -1.43 eV/atom.

It has space group R3 (No. 146, hexagonal axes), with a = 7.4279 Å, b = 7.4279 Å, c = 19.8428 Å, α = 90.00°, β = 90.00° and γ = 120.00°. The inequivalent atoms are Rb at (0.0000, 0.0000, 0.0000), Li at (0.0000, 0.0000, 0.5332), Pb at (0.0000, 0.0000, 0.2079), Pb at (0.0000, 0.0000, 0.7231), Cl at (0.0005, 0.3469, 0.7901) and Cl at (0.0897, 0.7199, 0.2813).